## KPuWO6 (PBE+U)

Data for an optimized crystal structure of KPuWO6.

Unit cell a=7.501 b=7.694 c=10.883 alpha=90.00 beta=90.00 gamma=90.00
Space group Imma (No. 74)
Unique sites:
K  0.000  0.250  0.141 [4 per cell]
Pu  0.000  0.000  0.500 [4 per cell]
W  0.250  0.250  0.750 [4 per cell]
O  0.000  0.250  0.423 [4 per cell]
O  0.000  0.250  0.799 [4 per cell]
O  0.203  0.070  0.629 [16 per cell]

Output
Calculated volume, Å³/cell: 628
Fermi-level density of states, states/eV/cell: 26.3
M_tot, μB per atom: 0.33
Uncorrected energy, eV per atom: -8.128